[1]
The following is a DFT calculation (PBE) of ZrTl3Tc after structural relaxation.

```
5
Lattice="5.574 0.000 0.000 0.000 5.574 0.000 0.000 0.000 5.574" Properties=species:S:1:pos:R:3 pbc="T T T"
Zr 0.000 0.000 0.000
Tl 0.000 0.000 2.787
Tl 0.000 2.787 0.000
Tl 2.787 0.000 0.000
Tc 2.787 2.787 2.787
```

As for the energy of formation: 1.388 eV/atom. The electronic total energy comes out at -3.815 eV per atom. The density of states at the Fermi level comes out at 3.3 states/eV per cell. The symmetry is No. 221. Its magnetization is 0.758 μB per atom.

---

[2]
The following is a DFT calculation (PBE) of BPb3Se after structural relaxation.

```
5
Lattice="5.120 0.000 0.000 0.000 5.120 0.000 0.000 0.000 5.120" Properties=species:S:1:pos:R:3 pbc="T T T"
B 0.000 0.000 0.000
Pb 0.000 0.000 2.560
Pb 0.000 2.560 0.000
Pb 2.560 0.000 0.000
Se 2.560 2.560 2.560
```

The electronic total energy comes out at -3.760 eV per atom. The density of states at the Fermi level comes out at 1.5 states/eV per cell. The symmetry is No. 221. Its magnetization is 0.000 μB per atom. The formation energy (no corrections) comes out at 0.50 eV per atom.

---

[3]
The following is a DFT calculation (PBE) of Sm4SiGeSe2 after structural relaxation.

```
8
Lattice="7.274 0.000 0.000 0.000 4.211 0.000 -2.428 0.000 6.944" Properties=species:S:1:pos:R:3 pbc="T T T"
Sm 1.200 0.000 1.659
Sm -0.008 2.105 5.281
Sm 4.854 2.105 1.663
Sm 3.645 0.000 5.285
Si 0.000 2.105 0.000
Ge 3.637 0.000 0.000
Se -1.214 0.000 3.472
Se 2.423 2.105 3.472
```

The electronic total energy comes out at -5.839 eV per atom. The density of states at the Fermi level comes out at 2.3 states/eV per cell. The symmetry is No. 10. Its magnetization is 0.000 μB per atom. The formation energy (no corrections) comes out at -1.35 eV per atom.